# 1
Below is crystalline PmDy2ZrP4 at its relaxed geometry, with properties calculated at the GGA-PBE level.

Summary:
**Raw total energy**: -0.259 hartree per atom
**Crystal system**: monoclinic
**Volume**: 176.1 Å³ per cell
**ΔE_f**: -147 kJ per mole of atoms

a = 6.855 Å, b = 3.960 Å, c = 6.870 Å
α = 90.00°, β = 109.25°, γ = 90.00°
Fractional positions:
Pm  0.000  0.000  0.000
Dy  0.500  0.000  0.500
Dy  0.500  0.500  0.000
Zr  0.000  0.500  0.500
P  0.242  0.000  0.737
P  0.249  0.500  0.261
P  0.751  0.500  0.739
P  0.758  0.000  0.263

***

# 2
Below is crystalline HoNpCo2 at its relaxed geometry, with properties calculated at the GGA-PBE level.

Summary:
**Raw total energy**: -0.288 hartree per atom
**Crystal system**: trigonal
**Volume**: 227.9 Å³ per cell
**ΔE_f**: 10 kJ per mole of atoms

a = 3.647 Å, b = 3.647 Å, c = 19.790 Å
α = 90.00°, β = 90.00°, γ = 120.00°
Fractional positions:
Ho  0.000  0.000  0.000
Ho  0.333  0.667  0.667
Ho  0.667  0.333  0.333
Np  0.000  0.000  0.500
Np  0.333  0.667  0.167
Np  0.667  0.333  0.833
Co  0.000  0.000  0.239
Co  0.000  0.000  0.761
Co  0.333  0.667  0.428
Co  0.333  0.667  0.906
Co  0.667  0.333  0.094
Co  0.667  0.333  0.572

***

# 3
Below is crystalline NaHgAu2 at its relaxed geometry, with properties calculated at the GGA-PBE level.

Summary:
**Raw total energy**: -0.081 hartree per atom
**Crystal system**: tetragonal
**Volume**: 79.8 Å³ per cell
**ΔE_f**: -15 kJ per mole of atoms

a = 4.284 Å, b = 4.284 Å, c = 4.349 Å
α = 90.00°, β = 90.00°, γ = 90.00°
Fractional positions:
Na  0.000  0.000  0.000
Hg  0.500  0.500  0.000
Au  0.000  0.500  0.500
Au  0.500  0.000  0.500

***

# 4
Below is crystalline LaRePt3 at its relaxed geometry, with properties calculated at the GGA-PBE level.

Summary:
**Raw total energy**: -0.260 hartree per atom
**Crystal system**: cubic
**Volume**: 117.4 Å³ per cell
**ΔE_f**: 2 kJ per mole of atoms

a = 4.896 Å, b = 4.896 Å, c = 4.896 Å
α = 90.00°, β = 90.00°, γ = 90.00°
Fractional positions:
La  0.000  0.000  0.000
Re  0.500  0.500  0.500
Pt  0.000  0.500  0.500
Pt  0.500  0.000  0.500
Pt  0.500  0.500  0.000

***

# 5
Below is crystalline TaMn2Cl at its relaxed geometry, with properties calculated at the GGA-PBE level.

Summary:
**Raw total energy**: -0.265 hartree per atom
**Crystal system**: cubic
**Volume**: 254.1 Å³ per cell
**Formation energy from raw total energies**: 0.8032 eV/atom

a = 6.334 Å, b = 6.334 Å, c = 6.334 Å
α = 90.00°, β = 90.00°, γ = 90.00°
Fractional positions:
Ta  0.000  0.000  0.000
Ta  0.000  0.500  0.500
Ta  0.500  0.000  0.500
Ta  0.500  0.500  0.000
Mn  0.250  0.250  0.250
Mn  0.250  0.250  0.750
Mn  0.250  0.750  0.250
Mn  0.250  0.750  0.750
Mn  0.750  0.250  0.250
Mn  0.750  0.250  0.750
Mn  0.750  0.750  0.250
Mn  0.750  0.750  0.750
Cl  0.000  0.000  0.500
Cl  0.000  0.500  0.000
Cl  0.500  0.000  0.000
Cl  0.500  0.500  0.500

***

# 6
Below is crystalline BaMg3F at its relaxed geometry, with properties calculated at the GGA-PBE level.

Summary:
**Raw total energy**: -0.086 hartree per atom
**Crystal system**: cubic
**Volume**: 137.4 Å³ per cell
**Formation energy from raw total energies**: -0.6367 eV/atom

a = 5.161 Å, b = 5.161 Å, c = 5.161 Å
α = 90.00°, β = 90.00°, γ = 90.00°
Fractional positions:
Ba  0.000  0.000  0.000
Mg  0.000  0.500  0.500
Mg  0.500  0.000  0.500
Mg  0.500  0.500  0.000
F  0.500  0.500  0.500